No. 1
8
Lattice="4.778 0.000 0.000 0.000 3.359 0.000 0.000 0.000 9.535" Properties=species:S:1:pos:R:3 comment="Ho2CoRh (PBE, optimized geometry)" ef_ev_per_atom=-0.535 pbc="T T T"
Ho 1.194 0.000 1.143
Ho 1.194 0.000 6.008
Ho 3.583 0.000 3.527
Ho 3.583 0.000 8.392
Co 1.194 1.679 8.349
Co 3.583 1.679 1.186
Rh 1.194 1.679 3.574
Rh 3.583 1.679 5.961

No. 2
4
Lattice="-1.909 1.909 3.888 1.909 -1.909 3.888 1.909 1.909 -3.888" Properties=species:S:1:pos:R:3 comment="AlRe2Si (PBE, optimized geometry)" e_form_raw_ev_per_atom=0.00 pbc="T T T"
Al 0.000 0.000 0.000
Re 1.909 0.000 1.944
Re 0.000 0.000 3.888
Si 0.000 1.909 1.944

In states/eV/f.u., the Fermi-level density of states values for the records above are, in order, 1.517 3.204.
In eV/f.u., the total DFT energy (no corrections) values for the records above are, in order, -25.8 -34.0.